(1)
KRbPbS2 PBE relaxed; E_form (uncorrected) = -19.5 kcal/mol of atoms
1.0
8.504 -2.289 0.000
8.504 2.289 0.000
-2.293 0.000 10.410
K Rb Pb S
2 2 2 4
direct
0.168 0.168 0.067
0.832 0.832 0.933
0.120 0.120 0.627
0.880 0.880 0.373
0.489 0.489 0.831
0.511 0.511 0.169
0.064 0.064 0.311
0.355 0.355 0.150
0.645 0.645 0.850
0.936 0.936 0.689

---

(2)
KRb2Sb2Pb PBE relaxed; E_form (uncorrected) = -8.2 kcal/mol of atoms; DOS(E_F) = 6.22 states/eV per cell
1.0
-4.057 8.548 3.817
4.057 -8.548 3.817
4.057 8.548 -3.817
K Rb Sb Pb
2 4 4 2
direct
0.250 0.250 0.000
0.750 0.750 0.000
0.176 0.728 0.904
0.324 0.228 0.551
0.676 0.772 0.449
0.824 0.272 0.096
0.106 0.290 0.396
0.394 0.790 0.184
0.606 0.210 0.816
0.894 0.710 0.604
0.250 0.750 0.500
0.750 0.250 0.500

---

(3)
KRbPb2Se PBE relaxed; E_form (uncorrected) = 11.0 kcal/mol of atoms; DOS(E_F) = 5.00 states/eV per cell
1.0
6.331 0.000 0.000
0.000 6.331 0.000
0.000 0.000 6.091
K Rb Pb Se
1 1 2 1
direct
0.000 0.000 0.000
0.500 0.500 0.500
0.000 0.500 0.500
0.500 0.000 0.500
0.500 0.500 0.000

---

The calculation returns the following raw total energy values, one per record and in order: -36.518, -34.218, -10.587 eV per cell.